[1]
{"formula": "AgBiSe", "functional": "GGA-PBE", "state": "relaxed", "total_magnetization_mub_per_fu": 0.00, "formation_energy_uncorrected_mev_per_atom": -50, "total_energy_ev_per_cell": -10.4, "dos_at_fermi_per_ev_cell": 1.220, "lattice": [[4.0713, 0.0000, 0.0000], [-2.0357, 3.5259, 0.0000], [0.0000, 0.0000, 5.2745]], "species": ["Ag", "Bi", "Se"], "fractional_positions": [[0.0000, 0.0000, 0.0222], [0.3333, 0.6667, 0.6741], [0.6667, 0.3333, 0.3037]]}

***

[2]
{"formula": "LiIn2Rh2", "functional": "GGA-PBE", "state": "relaxed", "de_polymorph_ev_per_fu": 0.00, "total_magnetization_mub_per_fu": 0.00, "total_energy_ev_per_cell": -48.0, "dos_at_fermi_per_ev_cell": 4.216, "formation_enthalpy_0k_ev_per_atom": -0.380, "lattice": [[-5.0290, 5.5186, 1.2608], [-5.4929, -4.3497, -2.8709], [-0.5690, -1.1734, 2.8665]], "species": ["In", "In", "In", "In", "Rh", "Rh", "Rh", "Rh", "Li", "Li"], "fractional_positions": [[0.1597, 0.6597, 0.5000], [0.8403, 0.3403, 0.5000], [0.6597, 0.8403, 0.5000], [0.3403, 0.1597, 0.5000], [0.6385, 0.1385, 0.0000], [0.3615, 0.8615, 0.0000], [0.1385, 0.3615, 0.0000], [0.8615, 0.6385, 0.0000], [0.0000, 0.0000, 0.0000], [0.5000, 0.5000, 0.0000]]}

***

[3]
{"formula": "CsMg2Pb2", "functional": "GGA-PBE", "state": "relaxed", "de_polymorph_ev_per_fu": 0.27, "total_magnetization_mub_per_fu": 0.00, "total_energy_ev_per_cell": -23.5, "dos_at_fermi_per_ev_cell": 4.307, "formation_enthalpy_0k_ev_per_atom": -0.059, "lattice": [[8.4014, 0.0810, 1.0152], [4.3263, 5.6987, 1.1845], [5.3536, 0.9344, 7.9576]], "species": ["Mg", "Mg", "Mg", "Mg", "Pb", "Pb", "Pb", "Pb", "Cs", "Cs"], "fractional_positions": [[0.1510, 0.1743, 0.1216], [0.3957, 0.5297, 0.7938], [0.6042, 0.4703, 0.2062], [0.8490, 0.8257, 0.8784], [0.7321, 0.1803, 0.5378], [0.4866, 0.8087, 0.8828], [0.2679, 0.8197, 0.4622], [0.5134, 0.1913, 0.1172], [0.9063, 0.7163, 0.3153], [0.0937, 0.2837, 0.6847]]}

***

[4]
{"formula": "Nd3YC", "functional": "GGA-PBE", "state": "relaxed", "total_magnetization_mub_per_fu": 0.00, "total_energy_ev_per_cell": -29.5, "dos_at_fermi_per_ev_cell": 6.715, "formation_enthalpy_0k_ev_per_atom": 0.095, "lattice": [[5.2418, 0.0000, 0.0000], [0.0000, 5.2418, 0.0000], [0.0000, 0.0000, 5.2418]], "species": ["Nd", "Nd", "Nd", "Y", "C"], "fractional_positions": [[0.0000, 0.5000, 0.0000], [0.0000, 0.0000, 0.5000], [0.5000, 0.0000, 0.0000], [0.5000, 0.5000, 0.5000], [0.0000, 0.0000, 0.0000]]}

***

[5]
{"formula": "MnInBr2", "functional": "GGA-PBE", "state": "relaxed", "de_polymorph_ev_per_fu": 0.42, "total_magnetization_mub_per_fu": 4.65, "formation_energy_uncorrected_mev_per_atom": -304, "total_energy_ev_per_cell": -16.5, "dos_at_fermi_per_ev_cell": 1.707, "lattice": [[3.8035, -0.0834, 0.0000], [-1.9764, 3.2507, 0.0000], [0.0000, 0.0000, 9.8458]], "species": ["Mn", "In", "Br", "Br"], "fractional_positions": [[0.5000, 0.5000, 0.7500], [0.5000, 0.5000, 0.2500], [0.0000, 0.0000, 0.9339], [0.0000, 0.0000, 0.5661]]}

***

[6]
{"formula": "BaCe2IrN4", "functional": "GGA-PBE", "state": "relaxed", "total_magnetization_mub_per_fu": 0.00, "formation_energy_uncorrected_mev_per_atom": -879, "total_energy_ev_per_cell": -126.0, "dos_at_fermi_per_ev_cell": 7.157, "lattice": [[3.6702, 0.0000, 0.0000], [-1.8351, 6.0691, 0.0000], [0.0000, 0.0000, 12.3580]], "species": ["Ir", "Ir", "N", "N", "N", "N", "N", "N", "N", "N", "Ce", "Ce", "Ce", "Ce", "Ba", "Ba"], "fractional_positions": [[0.1858, 0.3716, 0.2500], [0.8142, 0.6284, 0.7500], [0.6084, 0.2168, 0.2500], [0.7507, 0.5014, 0.9000], [0.2493, 0.4986, 0.4000], [0.2493, 0.4986, 0.1000], [0.3916, 0.7832, 0.7500], [0.0000, 0.0000, 0.0000], [0.0000, 0.0000, 0.5000], [0.7507, 0.5014, 0.6000], [0.6343, 0.2685, 0.4498], [0.3657, 0.7315, 0.5502], [0.6343, 0.2685, 0.0502], [0.3657, 0.7315, 0.9498], [0.0790, 0.1581, 0.7500], [0.9210, 0.8419, 0.2500]]}

***

[7]
{"formula": "Re2Sb", "functional": "GGA-PBE", "state": "relaxed", "de_polymorph_ev_per_fu": 1.41, "total_magnetization_mub_per_fu": 0.00, "formation_energy_uncorrected_mev_per_atom": 671, "total_energy_ev_per_cell": -108.0, "dos_at_fermi_per_ev_cell": 9.684, "lattice": [[-0.6306, 3.6419, -2.5243], [-0.9173, -3.2470, -4.4554], [-7.9427, -0.1606, 1.7524]], "species": ["Sb", "Sb", "Sb", "Sb", "Re", "Re", "Re", "Re", "Re", "Re", "Re", "Re"], "fractional_positions": [[0.2500, 0.1611, 0.0939], [0.7500, 0.8389, 0.9061], [0.2500, 0.6611, 0.4061], [0.7500, 0.3389, 0.5939], [0.7500, 0.8587, 0.5535], [0.2500, 0.1413, 0.4465], [0.7500, 0.5029, 0.2660], [0.2500, 0.4971, 0.7340], [0.2500, 0.9971, 0.7660], [0.2500, 0.6413, 0.0535], [0.7500, 0.0029, 0.2340], [0.7500, 0.3587, 0.9465]]}

***

[8]
{"formula": "HgTeMo2", "functional": "GGA-PBE", "state": "relaxed", "de_polymorph_ev_per_fu": 1.19, "total_magnetization_mub_per_fu": 0.00, "formation_energy_uncorrected_mev_per_atom": 579, "total_energy_ev_per_cell": -22.8, "dos_at_fermi_per_ev_cell": 4.137, "lattice": [[-0.6027, -2.4618, -2.0781], [3.1646, -0.8484, 0.0872], [-1.2613, -4.1604, 5.2943]], "species": ["Hg", "Mo", "Mo", "Te"], "fractional_positions": [[0.5000, 0.5000, 0.7500], [0.0000, 0.0000, 0.0221], [0.0000, 0.0000, 0.4779], [0.5000, 0.5000, 0.2500]]}

***

[9]
{"formula": "BaCa2H", "functional": "GGA-PBE", "state": "relaxed", "de_polymorph_ev_per_fu": 0.00, "total_magnetization_mub_per_fu": 0.00, "total_energy_ev_per_cell": -20.1, "dos_at_fermi_per_ev_cell": 3.260, "lattice": [[-7.4461, -0.1246, 0.8421], [0.8317, -2.6447, 6.9630], [-3.1789, 3.5757, 5.7713]], "species": ["H", "H", "Ca", "Ca", "Ca", "Ca", "Ba", "Ba"], "fractional_positions": [[0.5000, 0.5000, 0.0000], [0.2500, 0.7500, 0.5000], [0.3741, 0.6250, 0.2500], [0.3750, 0.6241, 0.7500], [0.3759, 0.1250, 0.2500], [0.8750, 0.6259, 0.7500], [0.0000, 0.0000, 0.0000], [0.7500, 0.2500, 0.5000]]}

***

[10]
{"formula": "PmNd6Ni3", "functional": "GGA-PBE", "state": "relaxed", "total_magnetization_mub_per_fu": 0.00, "total_energy_ev_per_cell": -104.3, "dos_at_fermi_per_ev_cell": 21.617, "formation_enthalpy_0k_ev_per_atom": -0.143, "lattice": [[7.2221, 0.0000, 0.0000], [0.0000, 8.6619, -1.5382], [0.0000, 0.2023, 8.7951]], "species": ["Nd", "Nd", "Nd", "Nd", "Nd", "Nd", "Nd", "Nd", "Nd", "Nd", "Nd", "Nd", "Pm", "Pm", "Ni", "Ni", "Ni", "Ni", "Ni", "Ni"], "fractional_positions": [[0.6721, 0.2923, 0.3723], [0.6586, 0.9661, 0.0339], [0.1721, 0.7077, 0.6277], [0.8193, 0.9679, 0.5830], [0.6721, 0.6277, 0.7077], [0.8193, 0.4170, 0.0321], [0.1586, 0.0339, 0.9661], [0.3193, 0.5830, 0.9679], [0.0060, 0.7725, 0.2275], [0.3193, 0.0321, 0.4170], [0.1721, 0.3723, 0.2923], [0.5060, 0.2275, 0.7725], [0.0451, 0.3256, 0.6744], [0.5451, 0.6744, 0.3256], [0.9586, 0.0911, 0.2903], [0.4586, 0.9089, 0.7097], [0.9586, 0.7097, 0.9089], [0.8757, 0.5776, 0.4224], [0.3757, 0.4224, 0.5776], [0.4586, 0.2903, 0.0911]]}

***

[11]
{"formula": "InTcOs2", "functional": "GGA-PBE", "state": "relaxed", "total_magnetization_mub_per_fu": 0.00, "total_energy_ev_per_cell": -34.0, "dos_at_fermi_per_ev_cell": 3.621, "formation_enthalpy_0k_ev_per_atom": 0.400, "lattice": [[4.8885, 0.0008, 0.0291], [4.0556, 2.7294, 0.0291], [0.8681, 0.2650, 4.7668]], "species": ["Tc", "Os", "Os", "In"], "fractional_positions": [[0.4863, 0.4863, 0.5137], [0.7516, 0.7516, 0.7660], [0.0131, 0.0131, 0.9608], [0.2490, 0.2490, 0.2595]]}

***

[12]
{"formula": "CaTi4S8", "functional": "GGA-PBE", "state": "relaxed", "de_polymorph_ev_per_fu": 1.63, "total_magnetization_mub_per_fu": 1.63, "formation_energy_uncorrected_mev_per_atom": -1361, "total_energy_ev_per_cell": -84.3, "dos_at_fermi_per_ev_cell": 5.655, "lattice": [[7.3501, 0.0000, 0.0000], [3.6750, 6.3653, 0.0000], [3.6750, 2.1218, 6.0013]], "species": ["S", "S", "S", "S", "S", "S", "S", "S", "Ti", "Ti", "Ti", "Ti", "Ca"], "fractional_positions": [[0.6068, 0.6068, 0.6068], [0.1328, 0.1328, 0.1328], [0.1328, 0.1328, 0.6015], [0.6068, 0.6068, 0.1797], [0.6068, 0.1797, 0.6068], [0.1328, 0.6015, 0.1328], [0.6015, 0.1328, 0.1328], [0.1797, 0.6068, 0.6068], [0.3666, 0.3666, 0.3666], [0.9003, 0.3666, 0.3666], [0.3666, 0.9003, 0.3666], [0.3666, 0.3666, 0.9003], [0.7500, 0.7500, 0.7500]]}

***

[13]
{"formula": "PmMg2Pd4Pb", "functional": "GGA-PBE", "state": "relaxed", "total_magnetization_mub_per_fu": 0.00, "total_energy_ev_per_cell": -37.0, "dos_at_fermi_per_ev_cell": 4.241, "formation_enthalpy_0k_ev_per_atom": -0.578, "lattice": [[-4.7326, 0.7860, -0.2353], [-3.0769, -3.5399, 1.0358], [-2.6105, 1.2518, 7.6606]], "species": ["Pd", "Pd", "Pd", "Pd", "Pb", "Mg", "Mg", "Pm"], "fractional_positions": [[0.6216, 0.6216, 0.1352], [0.1260, 0.1260, 0.6220], [0.8740, 0.8740, 0.3780], [0.3784, 0.3784, 0.8648], [0.5000, 0.5000, 0.5000], [0.7518, 0.7518, 0.7447], [0.2482, 0.2482, 0.2553], [0.0000, 0.0000, 0.0000]]}

***

[14]
{"formula": "Ac2MgHg8", "functional": "GGA-PBE", "state": "relaxed", "total_magnetization_mub_per_fu": 0.00, "total_energy_ev_per_cell": -15.6, "dos_at_fermi_per_ev_cell": 4.646, "formation_enthalpy_0k_ev_per_atom": -0.309, "lattice": [[-1.9526, -4.3212, -1.6286], [6.3982, -1.4071, -3.9377], [0.8145, -0.8597, 9.0220]], "species": ["Hg", "Hg", "Hg", "Hg", "Hg", "Hg", "Hg", "Hg", "Mg", "Ac", "Ac"], "fractional_positions": [[0.1379, 0.1390, 0.2759], [0.6207, 0.8301, 0.2414], [0.3793, 0.1699, 0.7586], [0.6192, 0.4112, 0.2385], [0.0007, 0.7037, 0.0014], [0.8621, 0.8610, 0.7241], [0.9993, 0.2963, 0.9986], [0.3808, 0.5888, 0.7615], [0.5000, 0.0000, 0.0000], [0.7827, 0.2837, 0.5654], [0.2173, 0.7163, 0.4346]]}

***

[15]
{"formula": "Th3InTc", "functional": "GGA-PBE", "state": "relaxed", "de_polymorph_ev_per_fu": 0.66, "total_magnetization_mub_per_fu": 0.00, "total_energy_ev_per_cell": -35.6, "dos_at_fermi_per_ev_cell": 5.022, "formation_enthalpy_0k_ev_per_atom": -0.054, "lattice": [[-0.5261, 4.6532, 2.7136], [-4.6253, -1.7877, 2.1687], [2.7609, -2.1082, 4.1503]], "species": ["Th", "Th", "Th", "Tc", "In"], "fractional_positions": [[0.0000, 0.0000, 0.5000], [0.5000, 0.0000, 0.0000], [0.0000, 0.5000, 0.0000], [0.0000, 0.0000, 0.0000], [0.5000, 0.5000, 0.5000]]}

***

[16]
{"formula": "YRuW2", "functional": "GGA-PBE", "state": "relaxed", "de_polymorph_ev_per_fu": 1.58, "total_magnetization_mub_per_fu": 0.00, "total_energy_ev_per_cell": -39.4, "dos_at_fermi_per_ev_cell": 4.710, "formation_enthalpy_0k_ev_per_atom": 0.567, "lattice": [[5.4381, -0.0155, 0.0000], [-2.8250, 4.6468, 0.0000], [0.0000, 0.0000, 2.8356]], "species": ["Ru", "W", "W", "Y"], "fractional_positions": [[0.0000, 0.5000, 0.5000], [0.0000, 0.0000, 0.0000], [0.5000, 0.5000, 0.0000], [0.5000, 0.0000, 0.5000]]}

***

[17]
{"formula": "SrPb3Br6Cl2", "functional": "GGA-PBE", "state": "relaxed", "total_magnetization_mub_per_fu": 0.00, "formation_energy_uncorrected_mev_per_atom": -1258, "total_energy_ev_per_cell": -41.6, "dos_at_fermi_per_ev_cell": 0.000, "lattice": [[6.5502, 0.0000, 0.2284], [0.0000, 8.8397, 0.0000], [-0.6907, -4.4199, 7.6309]], "species": ["Br", "Br", "Br", "Br", "Br", "Br", "Pb", "Pb", "Pb", "Cl", "Cl", "Sr"], "fractional_positions": [[0.2402, 0.6596, 0.8203], [0.2483, 0.1603, 0.3206], [0.7598, 0.3404, 0.1797], [0.7517, 0.8397, 0.6794], [0.2402, 0.1608, 0.8203], [0.7598, 0.8392, 0.1797], [0.5000, 0.5000, 0.5000], [0.5000, 0.0000, 0.5000], [0.0000, 0.5000, 0.0000], [0.2645, 0.6637, 0.3275], [0.7355, 0.3363, 0.6725], [0.5000, 0.0000, 0.0000]]}

***

[18]
{"formula": "ErZn6Ag4", "functional": "GGA-PBE", "state": "relaxed", "total_magnetization_mub_per_fu": 0.00, "total_energy_ev_per_cell": -24.3, "dos_at_fermi_per_ev_cell": 3.913, "formation_enthalpy_0k_ev_per_atom": -0.067, "lattice": [[4.1918, 0.0000, 0.0000], [0.0000, 7.4097, 0.0000], [0.0000, -3.7049, 6.4170]], "species": ["Zn", "Zn", "Zn", "Zn", "Zn", "Zn", "Ag", "Ag", "Ag", "Ag", "Er"], "fractional_positions": [[0.0000, 0.5385, 0.0770], [0.0000, 0.5385, 0.4615], [0.5000, 0.2053, 0.4106], [0.5000, 0.2053, 0.7947], [0.5000, 0.5894, 0.7947], [0.0000, 0.9230, 0.4615], [0.5000, 0.8035, 0.1965], [0.5000, 0.3930, 0.1965], [0.5000, 0.8035, 0.6070], [0.0000, 0.3333, 0.6667], [0.0000, 0.0000, 0.0000]]}

***

[19]
{"formula": "AcPrMgAg", "functional": "GGA-PBE", "state": "relaxed", "de_polymorph_ev_per_fu": 0.22, "total_magnetization_mub_per_fu": 0.00, "total_energy_ev_per_cell": -13.8, "dos_at_fermi_per_ev_cell": 4.332, "formation_enthalpy_0k_ev_per_atom": -0.116, "lattice": [[-3.4955, -3.7688, 2.1959], [1.0736, -5.4584, -0.5451], [1.5609, -2.9995, 4.4509]], "species": ["Mg", "Pr", "Ac", "Ag"], "fractional_positions": [[0.7500, 0.7500, 0.7500], [0.5000, 0.5000, 0.5000], [0.0000, 0.0000, 0.0000], [0.2500, 0.2500, 0.2500]]}

***

[20]
{"formula": "AcPm14Cd", "functional": "GGA-PBE", "state": "relaxed", "total_magnetization_mub_per_fu": 0.00, "total_energy_ev_per_cell": -71.6, "dos_at_fermi_per_ev_cell": 17.541, "formation_enthalpy_0k_ev_per_atom": -0.006, "lattice": [[7.1798, 0.9622, 0.0000], [-0.9644, 7.1795, 0.0000], [0.0000, 0.0000, 10.3342]], "species": ["Pm", "Pm", "Pm", "Pm", "Pm", "Pm", "Pm", "Pm", "Pm", "Pm", "Pm", "Pm", "Pm", "Pm", "Cd", "Ac"], "fractional_positions": [[0.6290, 0.3710, 0.7519], [0.1213, 0.8787, 0.7506], [0.6290, 0.8789, 0.7512], [0.1211, 0.3710, 0.2488], [0.1213, 0.8787, 0.2494], [0.8753, 0.6259, 0.0000], [0.1211, 0.3710, 0.7512], [0.8749, 0.1251, 0.5000], [0.3741, 0.1247, 0.0000], [0.6290, 0.3710, 0.2481], [0.3753, 0.6247, 0.5000], [0.3756, 0.1252, 0.5000], [0.8748, 0.6244, 0.5000], [0.6290, 0.8789, 0.2488], [0.8748, 0.1252, 0.0000], [0.3748, 0.6252, 0.0000]]}

***

[21]
{"formula": "Rb4Zn3AgF12", "functional": "GGA-PBE", "state": "relaxed", "total_magnetization_mub_per_fu": 0.98, "formation_energy_uncorrected_mev_per_atom": -2354, "total_energy_ev_per_cell": -80.1, "dos_at_fermi_per_ev_cell": 6.017, "lattice": [[-4.8185, -3.9835, 3.9141], [6.5161, -3.4540, -0.1269], [0.7978, 6.6415, 3.1081]], "species": ["Zn", "Zn", "Zn", "F", "F", "F", "F", "F", "F", "F", "F", "F", "F", "F", "F", "Rb", "Rb", "Rb", "Rb", "Ag"], "fractional_positions": [[0.0000, 0.5000, 0.5000], [0.5000, 0.0000, 0.5000], [0.5000, 0.5000, 0.0000], [0.7500, 0.5000, 0.2500], [0.7339, 0.0000, 0.7339], [0.0000, 0.2661, 0.2661], [0.2661, 0.0000, 0.2661], [0.2661, 0.2661, 0.0000], [0.2500, 0.7500, 0.5000], [0.5000, 0.7500, 0.2500], [0.2500, 0.5000, 0.7500], [0.5000, 0.2500, 0.7500], [0.7339, 0.7339, 0.0000], [0.0000, 0.7339, 0.7339], [0.7500, 0.2500, 0.5000], [0.5000, 0.5000, 0.5000], [0.5000, 0.0000, 0.0000], [0.0000, 0.5000, 0.0000], [0.0000, 0.0000, 0.5000], [0.0000, 0.0000, 0.0000]]}

***

[22]
{"formula": "TiBeGaPd", "functional": "GGA-PBE", "state": "relaxed", "total_magnetization_mub_per_fu": 0.98, "total_energy_ev_per_cell": -21.2, "dos_at_fermi_per_ev_cell": 3.453, "formation_enthalpy_0k_ev_per_atom": -0.335, "lattice": [[4.2728, 0.0000, 0.0000], [2.1364, 3.7003, 0.0000], [2.1364, 1.2334, 3.4887]], "species": ["Be", "Ti", "Pd", "Ga"], "fractional_positions": [[0.7500, 0.7500, 0.7500], [0.5000, 0.5000, 0.5000], [0.0000, 0.0000, 0.0000], [0.2500, 0.2500, 0.2500]]}

***

[23]
{"formula": "K4CdBr2", "functional": "GGA-PBE", "state": "relaxed", "total_magnetization_mub_per_fu": 1.02, "formation_energy_uncorrected_mev_per_atom": -693, "total_energy_ev_per_cell": -13.5, "dos_at_fermi_per_ev_cell": 5.389, "lattice": [[-3.5597, -5.2965, -1.3786], [2.3584, -2.9685, 5.3151], [-7.1637, -0.9431, 6.6616]], "species": ["Br", "Br", "K", "K", "K", "K", "Cd"], "fractional_positions": [[0.6116, 0.6116, 0.7769], [0.3884, 0.3884, 0.2231], [0.2093, 0.2093, 0.5814], [0.7907, 0.7907, 0.4186], [0.0000, 0.5000, 0.0000], [0.5000, 0.0000, 0.0000], [0.0000, 0.0000, 0.0000]]}